# 1
! LiPa2Nb PBE optimized geometry; values from VASP
&SYSTEM
  ibrav = 0, nat = 4, ntyp = 3
/
ATOMIC_SPECIES
Nb 92.91 Nb.upf
Pa 231.04 Pa.upf
Li 6.94 Li.upf
ATOMIC_POSITIONS crystal
Nb 0.5000 0.5000 0.5000
Pa 0.0895 0.0895 0.7315
Pa 0.9105 0.9105 0.2685
Li 0.0000 0.0000 0.0000
CELL_PARAMETERS angstrom
-1.8303 0.8519 2.2693
0.3229 -1.2341 2.7565
6.9866 8.2771 4.5605
! Formation energy from the elements ... 0.301 eV/atom
! Space group ... R-3m

# 2
! KSrNi2Cl8 PBE optimized geometry; values from VASP
&SYSTEM
  ibrav = 0, nat = 12, ntyp = 4
/
ATOMIC_SPECIES
K 39.10 K.upf
Sr 87.62 Sr.upf
Ni 58.69 Ni.upf
Cl 35.45 Cl.upf
ATOMIC_POSITIONS crystal
K 0.5000 0.5000 0.5000
Sr 0.0000 0.0000 0.0000
Ni 0.2481 0.2481 0.2557
Ni 0.7519 0.7519 0.7443
Cl 0.1709 0.1709 0.4873
Cl 0.5790 0.2988 0.1867
Cl 0.8291 0.8291 0.5127
Cl 0.9355 0.5790 0.1867
Cl 0.0645 0.4210 0.8133
Cl 0.2988 0.9355 0.1867
Cl 0.7012 0.0645 0.8133
Cl 0.4210 0.7012 0.8133
CELL_PARAMETERS angstrom
-5.6072 2.8351 -1.9743
-5.1450 -3.7302 -1.7295
-6.6320 -0.1840 7.5858
! Energy relative to the elements, uncorrected ... -1.171 eV/atom
! Space group ... R-3

# 3
! Na2PuNpO6 PBE optimized geometry; values from VASP
&SYSTEM
  ibrav = 0, nat = 20, ntyp = 4
/
ATOMIC_SPECIES
Na 22.99 Na.upf
Pu 244.00 Pu.upf
Np 237.00 Np.upf
O 16.00 O.upf
ATOMIC_POSITIONS crystal
Na 0.0057 0.9678 0.2505
Na 0.5057 0.5322 0.7505
Na 0.9943 0.0322 0.7495
Na 0.4943 0.4678 0.2495
Pu 0.5000 0.0000 0.0000
Pu 0.0000 0.5000 0.5000
Np 0.5000 0.0000 0.5000
Np 0.0000 0.5000 0.0000
O 0.2944 0.6977 0.0461
O 0.7944 0.8023 0.5461
O 0.7056 0.3023 0.9539
O 0.2056 0.1977 0.4539
O 0.3056 0.7086 0.4517
O 0.8056 0.7914 0.9517
O 0.6944 0.2914 0.5483
O 0.1944 0.2086 0.0483
O 0.9097 0.5299 0.2454
O 0.4097 0.9701 0.7454
O 0.0903 0.4701 0.7546
O 0.5903 0.0299 0.2546
CELL_PARAMETERS angstrom
5.7849 0.0000 -0.0210
0.0000 5.9101 0.0000
0.0211 0.0000 8.2891
! Energy relative to the elements, uncorrected ... -2.610 eV/atom
! Space group ... P2_1/c

# 4
! BAs PBE optimized geometry; values from VASP
&SYSTEM
  ibrav = 0, nat = 8, ntyp = 2
/
ATOMIC_SPECIES
B 10.81 B.upf
As 74.92 As.upf
ATOMIC_POSITIONS crystal
B 0.3227 0.6773 0.0000
B 0.8227 0.8227 0.5000
B 0.1773 0.1773 0.5000
B 0.6773 0.3227 0.0000
As 0.3186 0.3186 0.0000
As 0.8186 0.1814 0.5000
As 0.1814 0.8186 0.5000
As 0.6814 0.6814 0.0000
CELL_PARAMETERS angstrom
-4.1574 -0.1315 -4.1828
3.5430 -3.2483 -3.4194
-1.2824 -2.8342 1.3637
! Formation energy from the elements ... 0.095 eV/atom
! Space group ... P4_2/mnm

# 5
! CrPRu2S PBE optimized geometry; values from VASP
&SYSTEM
  ibrav = 0, nat = 5, ntyp = 4
/
ATOMIC_SPECIES
Ru 101.07 Ru.upf
S 32.06 S.upf
P 30.97 P.upf
Cr 52.00 Cr.upf
ATOMIC_POSITIONS crystal
Ru 0.0000 0.0000 0.5000
Ru 0.5000 0.0000 0.0000
S 0.5000 0.5000 0.5000
P 0.0000 0.5000 0.0000
Cr 0.0000 0.0000 0.0000
CELL_PARAMETERS angstrom
-4.3950 0.3508 0.9082
-0.8917 -0.6308 -4.0714
-0.2029 -4.4370 0.7319
! Energy relative to the elements, uncorrected ... 1.182 eV/atom
! Space group ... P4/mmm

# 6
! Pm6DyYTh2 PBE optimized geometry; values from VASP
&SYSTEM
  ibrav = 0, nat = 20, ntyp = 4
/
ATOMIC_SPECIES
Pm 145.00 Pm.upf
Dy 162.50 Dy.upf
Y 88.91 Y.upf
Th 232.04 Th.upf
ATOMIC_POSITIONS crystal
Pm 0.0489 0.1116 0.7415
Pm 0.4511 0.2585 0.8884
Pm 0.9511 0.8884 0.2585
Pm 0.5489 0.7415 0.1116
Pm 0.3277 0.9812 0.4239
Pm 0.1723 0.5761 0.0188
Pm 0.6723 0.0188 0.5761
Pm 0.8277 0.4239 0.9812
Pm 0.1181 0.6915 0.4943
Pm 0.3819 0.5057 0.3085
Pm 0.8819 0.3085 0.5057
Pm 0.6181 0.4943 0.6915
Dy 0.2500 0.4009 0.5991
Dy 0.7500 0.5991 0.4009
Y 0.2500 0.9910 0.0090
Y 0.7500 0.0090 0.9910
Th 0.4550 0.8172 0.7355
Th 0.0450 0.2645 0.1828
Th 0.5450 0.1828 0.2645
Th 0.9550 0.7355 0.8172
CELL_PARAMETERS angstrom
-6.0165 -5.1673 6.8545
1.4811 -6.6399 -5.4025
6.3461 2.1807 5.5173
! Formation energy from the elements ... 0.153 eV/atom
! Space group ... C2/c

# 7
! Tb2Dy6ErSc3 PBE optimized geometry; values from VASP
&SYSTEM
  ibrav = 0, nat = 12, ntyp = 4
/
ATOMIC_SPECIES
Tb 158.93 Tb.upf
Dy 162.50 Dy.upf
Er 167.26 Er.upf
Sc 44.96 Sc.upf
ATOMIC_POSITIONS crystal
Tb 0.3333 0.6667 0.0000
Tb 0.6667 0.3333 0.0000
Dy 0.9135 0.5803 0.7412
Dy 0.7533 0.7533 0.2589
Dy 0.0865 0.4197 0.2588
Dy 0.5803 0.9135 0.7412
Dy 0.2467 0.2467 0.7411
Dy 0.4197 0.0865 0.2588
Er 0.0000 0.0000 0.0000
Sc 0.1666 0.8334 0.5000
Sc 0.8334 0.1666 0.5000
Sc 0.5000 0.5000 0.5000
CELL_PARAMETERS angstrom
6.0338 0.0014 0.0051
-3.0142 5.2269 0.0051
-1.0136 -1.7550 11.2618
! Formation energy from the elements ... 0.043 eV/atom
! Space group ... C2/m

# 8
! Mn2NbGe2 PBE optimized geometry; values from VASP
&SYSTEM
  ibrav = 0, nat = 10, ntyp = 3
/
ATOMIC_SPECIES
Nb 92.91 Nb.upf
Mn 54.94 Mn.upf
Ge 72.64 Ge.upf
ATOMIC_POSITIONS crystal
Nb 0.0000 0.0000 0.0000
Nb 0.5000 0.5000 0.0000
Mn 0.1413 0.6413 0.5000
Mn 0.6413 0.8587 0.5000
Mn 0.8587 0.3587 0.5000
Mn 0.3587 0.1413 0.5000
Ge 0.3471 0.8471 0.0000
Ge 0.8471 0.6529 0.0000
Ge 0.6529 0.1529 0.0000
Ge 0.1529 0.3471 0.0000
CELL_PARAMETERS angstrom
7.2194 0.0000 0.0000
0.0000 7.2194 0.0000
0.0000 0.0000 2.7733
! Formation energy from the elements ... -0.109 eV/atom
! Space group ... P4/mbm

# 9
! TiGaReNi PBE optimized geometry; values from VASP
&SYSTEM
  ibrav = 0, nat = 4, ntyp = 4
/
ATOMIC_SPECIES
Re 186.21 Re.upf
Ti 47.87 Ti.upf
Ga 69.72 Ga.upf
Ni 58.69 Ni.upf
ATOMIC_POSITIONS crystal
Re 0.5000 0.5000 0.5000
Ti 0.7500 0.7500 0.7500
Ga 0.2500 0.2500 0.2500
Ni 0.0000 0.0000 0.0000
CELL_PARAMETERS angstrom
4.2991 0.0000 0.0000
2.1496 3.7231 0.0000
2.1496 1.2410 3.5102
! Formation energy from the elements ... -0.249 eV/atom
! Space group ... F-43m

# 10
! Li2Pr2AlPd5 PBE optimized geometry; values from VASP
&SYSTEM
  ibrav = 0, nat = 20, ntyp = 4
/
ATOMIC_SPECIES
Li 6.94 Li.upf
Pr 140.91 Pr.upf
Al 26.98 Al.upf
Pd 106.42 Pd.upf
ATOMIC_POSITIONS crystal
Li 0.0000 0.1218 0.6218
Li 0.0000 0.8782 0.3782
Li 0.0000 0.6218 0.8782
Li 0.0000 0.3782 0.1218
Pr 0.0000 0.6783 0.1783
Pr 0.0000 0.3217 0.8217
Pr 0.0000 0.1783 0.3217
Pr 0.0000 0.8217 0.6783
Al 0.0000 0.0000 0.0000
Al 0.0000 0.5000 0.5000
Pd 0.5000 0.2006 0.0601
Pd 0.5000 0.7994 0.9399
Pd 0.5000 0.0601 0.7994
Pd 0.5000 0.7006 0.4399
Pd 0.5000 0.9399 0.2006
Pd 0.5000 0.2994 0.5601
Pd 0.5000 0.5601 0.7006
Pd 0.5000 0.4399 0.2994
Pd 0.5000 0.5000 0.0000
Pd 0.5000 0.0000 0.5000
CELL_PARAMETERS angstrom
-0.6624 -0.4555 3.5199
-8.8903 -3.6711 -2.1480
3.8499 -9.0612 -0.4481
! Formation energy from the elements ... -0.650 eV/atom
! Space group ... P4/mbm

# 11
! In2SiBr PBE optimized geometry; values from VASP
&SYSTEM
  ibrav = 0, nat = 8, ntyp = 3
/
ATOMIC_SPECIES
Si 28.09 Si.upf
Br 79.90 Br.upf
In 114.82 In.upf
ATOMIC_POSITIONS crystal
Si 0.5000 0.5000 0.0000
Si 0.2500 0.7500 0.5000
Br 0.0000 0.0000 0.0000
Br 0.7500 0.2500 0.5000
In 0.5701 0.1250 0.2500
In 0.1799 0.6250 0.2500
In 0.3750 0.4299 0.7500
In 0.8750 0.8201 0.7500
CELL_PARAMETERS angstrom
6.5114 0.0000 0.0000
0.0000 6.5114 0.0000
3.2557 3.2557 6.5824
! Relative energy among the computed polymorphs ... 112.5 meV/atom
! Energy relative to the elements, uncorrected ... 0.066 eV/atom
! Space group ... I-42d

# 12
! LiLa2CuPd6 PBE optimized geometry; values from VASP
&SYSTEM
  ibrav = 0, nat = 10, ntyp = 4
/
ATOMIC_SPECIES
Li 6.94 Li.upf
La 138.91 La.upf
Cu 63.55 Cu.upf
Pd 106.42 Pd.upf
ATOMIC_POSITIONS crystal
Li 0.0000 0.0000 0.0000
La 0.2069 0.7927 0.4140
La 0.7931 0.2073 0.5860
Cu 0.5000 0.5000 0.0000
Pd 0.2516 0.7490 0.0101
Pd 0.7485 0.7580 0.9900
Pd 0.2412 0.2509 0.4972
Pd 0.7484 0.2510 0.9899
Pd 0.2515 0.2420 0.0100
Pd 0.7588 0.7491 0.5028
CELL_PARAMETERS angstrom
-4.4987 7.3357 1.3694
-4.6378 -2.4497 -2.0798
-6.9721 3.1236 4.1935
! Formation energy from the elements ... -0.483 eV/atom
! Space group ... C2/m

# 13
! LaTb2Pr4Dy PBE optimized geometry; values from VASP
&SYSTEM
  ibrav = 0, nat = 8, ntyp = 4
/
ATOMIC_SPECIES
La 138.91 La.upf
Tb 158.93 Tb.upf
Pr 140.91 Pr.upf
Dy 162.50 Dy.upf
ATOMIC_POSITIONS crystal
La 0.5000 0.5000 0.0000
Tb 0.0000 0.0000 0.0000
Tb 0.5000 0.0000 0.5000
Pr 0.0000 0.7539 0.7481
Pr 0.0000 0.2461 0.2519
Pr 0.5000 0.7515 0.2499
Pr 0.5000 0.2485 0.7501
Dy 0.0000 0.5000 0.5000
CELL_PARAMETERS angstrom
-2.6335 0.2350 2.5581
-8.3196 -2.8713 -8.3009
-0.0167 -6.2996 0.5615
! Formation energy from the elements ... 0.016 eV/atom
! Space group ... P2/m

# 14
! KTlPdPt PBE optimized geometry; values from VASP
&SYSTEM
  ibrav = 0, nat = 4, ntyp = 4
/
ATOMIC_SPECIES
K 39.10 K.upf
Tl 204.38 Tl.upf
Pd 106.42 Pd.upf
Pt 195.08 Pt.upf
ATOMIC_POSITIONS crystal
K 0.8199 0.8199 0.5404
Tl 0.0199 0.0199 0.9402
Pd 0.2737 0.2737 0.1790
Pt 0.6124 0.6124 0.1627
CELL_PARAMETERS angstrom
-2.9931 2.7410 1.9113
-2.0931 -1.2422 3.7684
2.9567 3.1650 5.3558
! Formation energy from the elements ... -0.111 eV/atom
! Space group ... R3m

# 15
! NaBi3Ir PBE optimized geometry; values from VASP
&SYSTEM
  ibrav = 0, nat = 10, ntyp = 3
/
ATOMIC_SPECIES
Na 22.99 Na.upf
Bi 208.98 Bi.upf
Ir 192.22 Ir.upf
ATOMIC_POSITIONS crystal
Na 0.2500 0.2148 0.1707
Na 0.7500 0.7852 0.8293
Bi 0.7500 0.5665 0.3783
Bi 0.2500 0.4335 0.6217
Bi 0.7500 0.3294 0.9427
Bi 0.2500 0.9351 0.6175
Bi 0.2500 0.6706 0.0573
Bi 0.7500 0.0649 0.3825
Ir 0.2500 0.7881 0.3296
Ir 0.7500 0.2119 0.6704
CELL_PARAMETERS angstrom
-3.6277 1.5502 -1.6110
-3.6249 -4.6404 3.6975
0.9578 8.3687 5.8956
! Formation energy from the elements ... -0.029 eV/atom
! Relative energy among the computed polymorphs ... 0.0 meV/atom
! Space group ... P2_1/m

# 16
! KTe2WI PBE optimized geometry; values from VASP
&SYSTEM
  ibrav = 0, nat = 5, ntyp = 4
/
ATOMIC_SPECIES
I 126.90 I.upf
K 39.10 K.upf
Te 127.60 Te.upf
W 183.84 W.upf
ATOMIC_POSITIONS crystal
I 0.0000 0.0000 0.5000
K 0.5000 0.5000 0.5000
Te 0.0000 0.5000 0.0000
Te 0.5000 0.0000 0.0000
W 0.0000 0.0000 0.0000
CELL_PARAMETERS angstrom
-2.5049 3.6438 2.9131
-4.3450 -3.0259 0.0487
1.9785 -2.7582 5.1512
! Relative energy among the computed polymorphs ... 0.0 meV/atom
! Energy relative to the elements, uncorrected ... -0.003 eV/atom
! Space group ... P4/mmm

# 17
! Y3Er2Tl2 PBE optimized geometry; values from VASP
&SYSTEM
  ibrav = 0, nat = 7, ntyp = 3
/
ATOMIC_SPECIES
Y 88.91 Y.upf
Er 167.26 Er.upf
Tl 204.38 Tl.upf
ATOMIC_POSITIONS crystal
Y 0.8536 0.0000 0.2929
Y 0.0000 0.0000 0.0000
Y 0.1464 0.0000 0.7071
Er 0.7145 0.5000 0.5709
Er 0.2855 0.5000 0.4291
Tl 0.5734 0.5000 0.8532
Tl 0.4266 0.5000 0.1468
CELL_PARAMETERS angstrom
-4.0451 2.5100 -1.4805
-1.3055 -0.1974 3.2323
3.2419 11.3573 2.0029
! Formation energy from the elements ... -0.105 eV/atom
! Relative energy among the computed polymorphs ... 96.1 meV/atom
! Space group ... Cmmm

# 18
! V8Co2Ni PBE optimized geometry; values from VASP
&SYSTEM
  ibrav = 0, nat = 11, ntyp = 3
/
ATOMIC_SPECIES
V 50.94 V.upf
Co 58.93 Co.upf
Ni 58.69 Ni.upf
ATOMIC_POSITIONS crystal
V 0.4053 0.3532 0.8393
V 0.5947 0.1607 0.6468
V 0.2017 0.8158 0.8158
V 0.7983 0.1842 0.1842
V 0.4053 0.8393 0.3532
V 0.5947 0.6468 0.1607
V 0.9252 0.5900 0.5900
V 0.0748 0.4100 0.4100
Co 0.7848 0.7709 0.7709
Co 0.2152 0.2291 0.2291
Ni 0.0000 0.0000 0.0000
CELL_PARAMETERS angstrom
5.6945 -0.5583 -0.4236
-0.9301 5.7327 1.3564
-0.9301 2.8499 5.1558
! Formation energy from the elements ... 0.138 eV/atom
! Space group ... C2/m

# 19
! ZnCd2AgSe PBE optimized geometry; values from VASP
&SYSTEM
  ibrav = 0, nat = 5, ntyp = 4
/
ATOMIC_SPECIES
Zn 65.41 Zn.upf
Se 78.96 Se.upf
Ag 107.87 Ag.upf
Cd 112.41 Cd.upf
ATOMIC_POSITIONS crystal
Zn 0.5000 0.5000 0.5000
Se 0.0000 0.5000 0.0000
Ag 0.0000 0.0000 0.0000
Cd 0.0000 0.0000 0.5000
Cd 0.5000 0.0000 0.0000
CELL_PARAMETERS angstrom
-3.4903 0.8056 -4.0162
0.5945 -4.8106 -1.4816
-4.0472 -1.4914 3.2182
! Energy relative to the elements, uncorrected ... 0.354 eV/atom
! Space group ... P4/mmm

# 20
! TbSnCl5 PBE optimized geometry; values from VASP
&SYSTEM
  ibrav = 0, nat = 14, ntyp = 3
/
ATOMIC_SPECIES
Tb 158.93 Tb.upf
Sn 118.71 Sn.upf
Cl 35.45 Cl.upf
ATOMIC_POSITIONS crystal
Tb 0.0000 0.0000 0.0000
Tb 0.5000 0.5000 0.5000
Sn 0.9129 0.5871 0.2500
Sn 0.0871 0.4129 0.7500
Cl 0.8154 0.8833 0.1498
Cl 0.7795 0.2663 0.4805
Cl 0.3833 0.3154 0.6498
Cl 0.2387 0.2613 0.2500
Cl 0.2337 0.7205 0.0195
Cl 0.7663 0.2795 0.9805
Cl 0.7613 0.7387 0.7500
Cl 0.6167 0.6846 0.3502
Cl 0.2205 0.7337 0.5195
Cl 0.1846 0.1167 0.8502
CELL_PARAMETERS angstrom
6.9195 0.3413 -2.0823
-0.8842 6.8713 -2.0823
-0.3050 -0.3645 10.3685
! Energy relative to the elements, uncorrected ... -1.682 eV/atom
! Space group ... C2/c

no.,mass density (g/cm³),total DFT energy (no corrections) (eV/atom),total moment (μB per atom)
1,10.05,-7.4425,0.000
2,2.50,-3.5971,0.417
3,7.30,-8.5755,0.500
4,4.82,-5.5685,0.000
5,6.17,-6.3604,0.000
6,7.74,-5.2881,0.000
7,7.45,-4.9931,0.000
8,8.00,-7.6379,0.889
9,10.71,-7.5367,0.000
10,8.10,-4.9592,0.000
11,4.02,-3.0775,0.000
12,7.35,-5.1850,0.000
13,7.09,-4.7222,0.000
14,8.14,-3.7858,0.000
15,9.58,-4.3936,0.000
16,5.81,-4.3800,0.086
17,8.22,-4.8552,0.064
18,6.77,-8.3117,0.000
19,5.40,-1.5335,0.000
20,3.11,-4.2341,0.000